Entry 1:
TlFe2Br6 | PBE-GGA | optimized geometry

uncorrected formation energy: -12.76 kcal/mol of atoms
total DFT energy (no corrections): -68.6 eV/cell

Geometry as POSCAR:
```
TlFe2Br6
1.0
6.841 -0.297 -0.287
1.611 9.922 -0.276
1.611 0.046 9.926
Tl Br Fe
2 12 4
Direct
0.250 0.128 0.872
0.750 0.872 0.128
0.911 0.831 0.424
0.695 0.951 0.792
0.089 0.169 0.576
0.589 0.576 0.169
0.086 0.423 0.281
0.411 0.424 0.831
0.305 0.049 0.208
0.805 0.208 0.049
0.414 0.719 0.577
0.586 0.281 0.423
0.195 0.792 0.951
0.914 0.577 0.719
0.738 0.778 0.628
0.238 0.628 0.778
0.762 0.372 0.222
0.262 0.222 0.372
```

Entry 2:
HgHI | PBE-GGA | optimized geometry

total DFT energy (no corrections): -10.6 eV/cell
distance to the lowest polymorph of the same formula: 131.3 meV/atom

Geometry as POSCAR:
```
HgHI
1.0
-2.567 0.058 3.778
5.676 -3.152 3.594
6.016 4.288 -1.694
I Hg H
2 2 2
Direct
0.804 0.763 0.804
0.015 0.341 0.485
0.056 0.846 0.435
0.762 0.258 0.854
0.610 0.904 0.193
0.208 0.199 0.096
```

Entry 3:
Cs2AcPb2O4 | PBE-GGA | optimized geometry

uncorrected formation energy: -37.71 kcal/mol of atoms
total DFT energy (no corrections): -47.8 eV/cell

Geometry as POSCAR:
```
Cs2AcPb2O4
1.0
3.874 0.000 0.000
-1.937 9.215 3.129
0.000 -0.928 7.353
Cs O Pb Ac
2 4 2 1
Direct
0.129 0.259 0.504
0.871 0.741 0.496
0.109 0.218 0.134
0.429 0.859 0.167
0.891 0.782 0.866
0.571 0.141 0.833
0.662 0.324 0.986
0.338 0.676 0.014
0.000 0.000 0.000
```

Entry 4:
PmSm2DyEr4 | PBE-GGA | optimized geometry

total DFT energy (no corrections): -67.2 eV/cell
ΔH_f (0 K): 0.430 eV per atom

Geometry as POSCAR:
```
PmSm2DyEr4
1.0
-4.174 5.502 6.507
-2.287 -7.555 5.265
9.953 2.003 -5.943
Dy Er Sm Pm
2 8 4 2
Direct
0.000 0.000 0.000
0.500 0.500 0.500
0.750 0.751 0.503
0.250 0.249 0.497
0.749 0.750 0.997
0.252 0.748 0.500
0.752 0.248 0.000
0.248 0.752 0.000
0.748 0.252 0.500
0.251 0.250 0.003
0.500 0.000 0.000
0.500 0.000 0.500
0.000 0.000 0.500
0.500 0.500 0.000
0.000 0.500 0.500
0.000 0.500 0.000
```